No. 1
Compound: Dy2ErTmIn4
Source: Alexandria
Functional: PBE
Structure: optimized geometry

a = 5.2894 Å, b = 5.2894 Å, c = 9.1770 Å
α = 73.25°, β = 73.25°, γ = 60.00°
Closest atoms and distances in Å follow each position.
Element x y z (fractional)
In1 0.1252 0.1252 0.6243  4 Dy 3.24, 3 Tm 3.24, 1 Er 3.25
In2 0.6248 0.6248 0.1255  4 Dy 3.24-3.25, 1 Tm 3.24, 3 Er 3.24
In3 0.8748 0.8748 0.3757  4 Dy 3.24, 3 Tm 3.24, 1 Er 3.25
In4 0.3752 0.3752 0.8745  4 Dy 3.24-3.25, 1 Tm 3.24, 3 Er 3.24
Dy1 0.2499 0.2499 0.2503  8 In 3.24-3.25
Dy2 0.7501 0.7501 0.7497  8 In 3.24-3.25
Tm1 0.5000 0.5000 0.5000  8 In 3.24
Er1 0.0000 0.0000 0.0000  8 In 3.24-3.25

Properties
The space group is R-3m. The crystal system is trigonal. The value obtained for the energy of formation is -0.45 eV per atom.



No. 2
Compound: LaY5P6
Source: Alexandria
Functional: PBE
Structure: optimized geometry

a = 7.0326 Å, b = 7.0346 Å, c = 7.0329 Å
α = 59.99°, β = 80.39°, γ = 70.49°
Closest atoms and distances in Å follow each position.
Element x y z (fractional)
Y1 0.0000 0.3329 0.3342  6 P 2.87
Y2 0.5000 0.1655 0.6689  6 P 2.82-2.88
Y3 0.5000 0.8345 0.3311  6 P 2.82-2.88
Y4 0.0000 0.6671 0.6658  6 P 2.87
Y5 0.5000 0.5000 0.0000  6 P 2.82-2.87
La1 0.0000 0.0000 0.0000  6 P 2.93
P1 0.2546 0.5748 0.3403  5 Y 2.82-2.88, 1 La 2.93
P2 0.7462 0.7442 0.0000  5 Y 2.82-2.87, 1 La 2.93
P3 0.7454 0.0849 0.3403  5 Y 2.82-2.88, 1 La 2.93
P4 0.2546 0.9151 0.6597  5 Y 2.82-2.88, 1 La 2.93
P5 0.2538 0.2558 0.0000  5 Y 2.82-2.87, 1 La 2.93
P6 0.7454 0.4252 0.6597  5 Y 2.82-2.88, 1 La 2.93

Properties
The space group is C2/m. The crystal system is monoclinic. The value obtained for the energy of formation is -1.61 eV per atom.



No. 3
Compound: CaZnCu3Ni
Source: Alexandria
Functional: PBE
Structure: optimized geometry

a = 5.0433 Å, b = 5.1029 Å, c = 8.1552 Å
α = 108.23°, β = 90.00°, γ = 90.00°
Closest atoms and distances in Å follow each position.
Element x y z (fractional)
Cu1 0.0000 0.2612 0.0000  6 Cu 2.44-2.67, 2 Ni 2.48, 2 Zn 2.57
Cu2 0.5000 0.7388 0.0000  6 Cu 2.44-2.67, 2 Ni 2.48, 2 Zn 2.57
Cu3 0.7500 0.8874 0.7748  2 Zn 2.52, 4 Cu 2.53
Cu4 0.5000 0.2612 0.0000  6 Cu 2.44-2.67, 2 Ni 2.48, 2 Zn 2.57
Cu5 0.0000 0.7388 0.0000  6 Cu 2.44-2.67, 2 Ni 2.48, 2 Zn 2.57
Cu6 0.2500 0.1126 0.2252  2 Zn 2.52, 4 Cu 2.53
Ni1 0.2500 0.3870 0.7741  4 Cu 2.48, 2 Zn 2.55
Ni2 0.7500 0.6130 0.2259  4 Cu 2.48, 2 Zn 2.55
Ca1 0.7500 0.3064 0.6128  2 Ni 2.81, 2 Cu 2.84, 1 Zn 2.95
Ca2 0.2500 0.6936 0.3872  2 Ni 2.81, 2 Cu 2.84, 1 Zn 2.95
Zn1 0.7500 0.1162 0.2323  6 Cu 2.52-2.57, 2 Ni 2.55
Zn2 0.2500 0.8838 0.7677  6 Cu 2.52-2.57, 2 Ni 2.55

Properties
The space group is Cmcm. The crystal system is orthorhombic. The value obtained for the energy of formation is 0.02 eV per atom.



No. 4
Compound: PIrAuC
Source: Alexandria
Functional: PBE
Structure: optimized geometry

a = 4.7043 Å, b = 2.7768 Å, c = 11.0706 Å
α = 90.00°, β = 98.63°, γ = 90.00°
Closest atoms and distances in Å follow each position.
Element x y z (fractional)
Au1 0.1497 0.0000 0.4231  2 P 2.53, 2 Au 2.78
Au2 0.1497 0.5000 0.9231  2 P 2.53, 2 Au 2.78
Ir1 0.9144 0.0000 0.7050  2 C 1.97
Ir2 0.9144 0.5000 0.2050  2 C 1.97
C1 0.6148 0.5000 0.6709  1 P 1.74
C2 0.6148 0.0000 0.1709  1 P 1.74
P1 0.2486 0.0000 0.1153  1 C 1.74
P2 0.2486 0.5000 0.6153  1 C 1.74

Properties
The space group is Cm. For the energy relative to the lowest polymorph listed for this composition, the calculation gives 0.132 eV per atom. The crystal system is monoclinic. The value obtained for the energy of formation is 0.51 eV per atom.



No. 5
Compound: CrHOs2Ru
Source: Alexandria
Functional: PBE
Structure: optimized geometry

a = 3.8630 Å, b = 3.8630 Å, c = 3.8476 Å
α = 90.00°, β = 90.00°, γ = 90.00°
Closest atoms and distances in Å follow each position.
Element x y z (fractional)
Ru1 0.0000 0.0000 0.5000  2 H 1.92
H1 0.0000 0.0000 0.0000  2 Ru 1.92, 4 Os 1.93
Cr1 0.5000 0.5000 0.5000  8 Os 2.73, 4 Ru 2.73
Os1 0.0000 0.5000 0.0000  2 H 1.93
Os2 0.5000 0.0000 0.0000  2 H 1.93

Properties
The space group is P4/mmm. For the energy relative to the lowest polymorph listed for this composition, the calculation gives 0.032 eV per atom. The crystal system is tetragonal.



No. 6
Compound: SrAgBiS3
Source: Alexandria
Functional: PBE
Structure: optimized geometry

a = 4.0969 Å, b = 8.4130 Å, c = 8.9985 Å
α = 103.09°, β = 90.00°, γ = 90.00°
Closest atoms and distances in Å follow each position.
Element x y z (fractional)
Ag1 0.7500 0.9049 0.4113  4 S 2.60-2.78, 2 Ag 2.85
Ag2 0.2500 0.0951 0.5887  4 S 2.60-2.78, 2 Ag 2.85
S1 0.2500 0.7567 0.4991  3 Ag 2.61-2.78
S2 0.7500 0.4301 0.1542  3 Bi 2.79-2.87, 2 Sr 3.10
S3 0.7500 0.8975 0.1212  1 Ag 2.60, 2 Bi 2.88
S4 0.2500 0.1025 0.8788  1 Ag 2.60, 2 Bi 2.88
S5 0.7500 0.2433 0.5009  3 Ag 2.61-2.78
S6 0.2500 0.5699 0.8458  3 Bi 2.79-2.87, 2 Sr 3.10
Sr1 0.2500 0.1888 0.2384  7 S 3.08-3.19, 1 Ag 3.42
Sr2 0.7500 0.8112 0.7616  7 S 3.08-3.19, 1 Ag 3.42
Bi1 0.2500 0.6711 0.1627  6 S 2.79-2.95
Bi2 0.7500 0.3289 0.8373  6 S 2.79-2.95

Properties
The space group is P2_1/m. The raw formation energy comes out at -850 meV/atom. The crystal system is monoclinic.



E_tot readings, ordered: -32.77 -89.01 -42.41 -49.50 -43.82 -51.80 eV per cell